# 1
Density functional theory data (PBE) for a relaxed BaAlF3 crystal.

Output
The formation energy without anion corrections is -2.43 eV/atom. The value obtained for the energy relative to the lowest polymorph listed for this composition is 110.4 meV/atom. Its total moment is 0.00 Bohr magnetons per cell.

Cell lengths 5.0880, 5.0880, 5.0880 Å; angles 90.00, 90.00, 90.00 degrees
Space group Pm-3m (No. 221)
One atom of each set of equivalent atoms:
Ba  0.0000  0.0000  0.0000
Al  0.5000  0.5000  0.5000
F  0.0000  0.0000  0.5000

# 2
Density functional theory data (PBE) for a relaxed Ce3Co5Ge6 crystal.

Output
Its formation energy is -0.51 eV per atom. Its total moment is 0.00 Bohr magnetons per cell.

Cell lengths 4.0713, 13.3891, 8.5243 Å; angles 90.00, 90.00, 90.00 degrees
Space group Pmmn (No. 59, origin choice 2)
One atom of each set of equivalent atoms:
Ce  0.2500  0.0382  0.2189
Ce  0.2500  0.7500  0.2676
Co  0.2500  0.0924  0.6105
Co  0.2500  0.6553  0.9730
Co  0.2500  0.7500  0.7007
Ge  0.2500  0.1052  0.8868
Ge  0.2500  0.2500  0.1121
Ge  0.2500  0.2500  0.4592
Ge  0.2500  0.5901  0.5347

# 3
Density functional theory data (PBE) for a relaxed Ac2Pr5SmEr crystal.

Output
Its formation energy is 0.11 eV per atom. Its total moment is 0.00 Bohr magnetons per cell.

Cell lengths 5.6652, 22.7420, 10.5389 Å; angles 90.00, 90.00, 90.00 degrees
Space group Cmcm (No. 63)
One atom of each set of equivalent atoms:
Ac  0.0000  0.1166  0.0122
Pr  0.0000  0.0024  0.7500
Pr  0.0000  0.2785  0.0606
Pr  0.0000  0.3784  0.7500
Pr  0.0000  0.5000  0.0000
Sm  0.0000  0.3974  0.2500
Er  0.0000  0.2182  0.7500

# 4
Density functional theory data (PBE) for a relaxed Al2CdSiSb crystal.

Output
The formation energy without anion corrections is 0.95 eV/atom. Its total moment is 0.00 Bohr magnetons per cell.

Cell lengths 5.2426, 5.2426, 5.3253 Å; angles 90.00, 90.00, 90.00 degrees
Space group P4/mmm (No. 123)
One atom of each set of equivalent atoms:
Al  0.0000  0.5000  0.0000
Cd  0.0000  0.0000  0.5000
Si  0.5000  0.5000  0.5000
Sb  0.5000  0.5000  0.0000

# 5
Density functional theory data (PBE) for a relaxed Pr4Sm9In11 crystal.

Output
Its formation energy is -0.42 eV per atom. Its total moment is 0.00 Bohr magnetons per cell.

Cell lengths 16.2973, 23.7773, 3.5801 Å; angles 90.00, 90.00, 90.00 degrees
Space group Cmmm (No. 65)
One atom of each set of equivalent atoms:
Pr  0.1754  0.0819  0.0000
Sm  0.0000  0.0000  0.0000
Sm  0.1062  0.4034  0.0000
Sm  0.1119  0.2227  0.0000
In  0.0000  0.1209  0.5000
In  0.0000  0.3110  0.5000
In  0.0000  0.5000  0.5000
In  0.1996  0.5000  0.5000
In  0.2243  0.3150  0.5000

# 6
Density functional theory data (PBE) for a relaxed Na2Pu3I8 crystal.

Output
The formation energy without anion corrections is -1.08 eV/atom. Its total moment is 36.00 Bohr magnetons per cell.

Cell lengths 15.3947, 9.0780, 7.7596 Å; angles 90.00, 92.39, 90.00 degrees
Space group C2/m (No. 12)
One atom of each set of equivalent atoms:
Na  0.2298  0.0000  0.0346
Pu  0.0000  0.2563  0.5000
Pu  0.0000  0.5000  0.0000
I  0.1202  0.0000  0.3659
I  0.1231  0.5000  0.3381
I  0.1250  0.2598  0.8411

# 7
Density functional theory data (PBE) for a relaxed NaLiZnS2 crystal.

Output
The formation energy without anion corrections is -1.07 eV/atom. The value obtained for the energy relative to the lowest polymorph listed for this composition is 0.0 meV/atom. Its total moment is 0.00 Bohr magnetons per cell.

Cell lengths 3.9788, 3.9788, 6.8337 Å; angles 90.00, 90.00, 120.00 degrees
Space group P3m1 (No. 156)
One atom of each set of equivalent atoms:
Na  0.0000  0.0000  0.0000
Li  0.3333  0.6667  0.3309
Zn  0.6667  0.3333  0.5853
S  0.3333  0.6667  0.7075
S  0.6667  0.3333  0.2448

# 8
Density functional theory data (PBE) for a relaxed CuPd3Pt4 crystal.

Output
Its formation energy is -0.01 eV per atom. The value obtained for the energy relative to the lowest polymorph listed for this composition is 59.4 meV/atom. Its total moment is 0.00 Bohr magnetons per cell.

Cell lengths 2.7681, 4.7219, 18.7686 Å; angles 90.00, 90.00, 90.00 degrees
Space group Immm (No. 71)
One atom of each set of equivalent atoms:
Cu  0.0000  0.0000  0.0000
Pd  0.0000  0.0000  0.5000
Pd  0.0000  0.5000  0.1266
Pt  0.0000  0.0000  0.2448
Pt  0.0000  0.5000  0.3838

# 9
Density functional theory data (PBE) for a relaxed Cu2Sb2C crystal.

Output
The formation energy without anion corrections is 1.08 eV/atom. The value obtained for the energy relative to the lowest polymorph listed for this composition is 3.9 meV/atom. Its total moment is 0.00 Bohr magnetons per cell.

Cell lengths 3.3550, 3.3550, 15.0285 Å; angles 90.00, 90.00, 90.00 degrees
Space group I4/mmm (No. 139)
One atom of each set of equivalent atoms:
Cu  0.0000  0.5000  0.2500
Sb  0.0000  0.0000  0.0974
C  0.0000  0.0000  0.5000

# 10
Density functional theory data (PBE) for a relaxed Nd5Tm2In crystal.

Output
Its formation energy is -0.03 eV per atom. The value obtained for the energy relative to the lowest polymorph listed for this composition is 36.0 meV/atom. Its total moment is 0.00 Bohr magnetons per cell.

Cell lengths 3.4720, 11.3195, 13.0674 Å; angles 90.00, 90.00, 90.00 degrees
Space group Immm (No. 71)
One atom of each set of equivalent atoms:
Nd  0.0000  0.0000  0.0000
Nd  0.0000  0.2641  0.3702
Tm  0.0000  0.0000  0.2694
In  0.0000  0.5000  0.0000

# 11
Density functional theory data (PBE) for a relaxed Sm2SbAs3Rh4 crystal.

Output
The formation energy without anion corrections is -0.85 eV/atom. Its total moment is 0.00 Bohr magnetons per cell.

Cell lengths 4.2091, 4.2091, 10.7558 Å; angles 90.00, 90.00, 90.00 degrees
Space group P-4m2 (No. 115)
One atom of each set of equivalent atoms:
Sm  0.0000  0.5000  0.2345
Sb  0.0000  0.0000  0.5000
As  0.0000  0.5000  0.8672
As  0.5000  0.5000  0.5000
Rh  0.0000  0.0000  0.0000
Rh  0.0000  0.5000  0.6431
Rh  0.5000  0.5000  0.0000

# 12
Density functional theory data (PBE) for a relaxed Pr4Al12Cu crystal.

Output
Its formation energy is -0.40 eV per atom. Its total moment is 0.00 Bohr magnetons per cell.

Cell lengths 8.8615, 8.8615, 8.8615 Å; angles 90.00, 90.00, 90.00 degrees
Space group Im-3m (No. 229)
One atom of each set of equivalent atoms:
Pr  0.2500  0.2500  0.2500
Al  0.0000  0.0000  0.2951
Al  0.0000  0.2500  0.5000
Cu  0.0000  0.0000  0.0000

# 13
Density functional theory data (PBE) for a relaxed La2NiCl crystal.

Output
The formation energy without anion corrections is -0.05 eV/atom. The value obtained for the energy relative to the lowest polymorph listed for this composition is 923.3 meV/atom. Its total moment is 0.00 Bohr magnetons per cell.

Cell lengths 7.1584, 7.1584, 7.1584 Å; angles 90.00, 90.00, 90.00 degrees
Space group F-43m (No. 216)
One atom of each set of equivalent atoms:
La  0.0000  0.0000  0.0000
La  0.2500  0.2500  0.2500
Ni  0.2500  0.2500  0.7500
Cl  0.0000  0.0000  0.5000

# 14
Density functional theory data (PBE) for a relaxed CeDyHoEr crystal.

Output
Its formation energy is 0.17 eV per atom. Its total moment is 5.01 Bohr magnetons per cell.

Cell lengths 7.9608, 7.9608, 7.9608 Å; angles 90.00, 90.00, 90.00 degrees
Space group F-43m (No. 216)
One atom of each set of equivalent atoms:
Ce  0.0000  0.0000  0.0000
Dy  0.2500  0.2500  0.7500
Ho  0.0000  0.0000  0.5000
Er  0.2500  0.2500  0.2500

# 15
Density functional theory data (PBE) for a relaxed Y12As3H5 crystal.

Output
The calculation puts the energy at -5.96 eV per atom. Its total moment is 0.02 Bohr magnetons per cell.

Cell lengths 15.1938, 15.1938, 15.1938 Å; angles 90.00, 90.00, 90.00 degrees
Space group Ia-3d (No. 230)
One atom of each set of equivalent atoms:
Y  0.0376  0.0590  0.6541
As  0.0000  0.2500  0.1250
H  0.0000  0.0000  0.0000
H  0.0000  0.2500  0.3750

# 16
Density functional theory data (PBE) for a relaxed YTiBr2 crystal.

Output
The formation energy without anion corrections is -0.57 eV/atom. The value obtained for the energy relative to the lowest polymorph listed for this composition is 0.0 meV/atom. Its total moment is 5.28 Bohr magnetons per cell.

Cell lengths 3.5187, 3.5187, 28.4786 Å; angles 90.00, 90.00, 120.00 degrees
Space group R-3m (No. 166, hexagonal axes)
One atom of each set of equivalent atoms:
Y  0.0000  0.0000  0.0000
Ti  0.0000  0.0000  0.5000
Br  0.0000  0.0000  0.4078

# 17
Density functional theory data (PBE) for a relaxed Ac2ZnPd6 crystal.

Output
Its formation energy is -0.74 eV per atom. Its total moment is 0.00 Bohr magnetons per cell.

Cell lengths 5.9405, 5.9405, 5.9605 Å; angles 90.00, 90.00, 120.00 degrees
Space group P-3m1 (No. 164)
One atom of each set of equivalent atoms:
Ac  0.3333  0.6667  0.1931
Zn  0.0000  0.0000  0.0000
Pd  0.1724  0.3448  0.6885

# 18
Density functional theory data (PBE) for a relaxed La2TiPd crystal.

Output
Its formation energy is 0.09 eV per atom. The value obtained for the energy relative to the lowest polymorph listed for this composition is 130.6 meV/atom. Its total moment is 7.69 Bohr magnetons per cell.

Cell lengths 8.2661, 8.2661, 6.3721 Å; angles 90.00, 90.00, 90.00 degrees
Space group I-42d (No. 122)
One atom of each set of equivalent atoms:
La  0.2157  0.2500  0.1250
Ti  0.0000  0.0000  0.5000
Pd  0.0000  0.0000  0.0000

# 19
Density functional theory data (PBE) for a relaxed Pr6Sm8Tl crystal.

Output
Its formation energy is 0.07 eV per atom. Its total moment is 0.00 Bohr magnetons per cell.

Cell lengths 9.5577, 9.5577, 6.5953 Å; angles 90.00, 90.00, 120.00 degrees
Space group P-3 (No. 147)
One atom of each set of equivalent atoms:
Pr  0.0914  0.6431  0.1758
Sm  0.0402  0.7753  0.6835
Sm  0.3333  0.6667  0.6472
Tl  0.0000  0.0000  0.0000